Sr8Ga2N | the Alexandria database | PBE | optimized geometry; energy = -2.6128 eV/atom; size of the total moment = 0.5 μB per cell; ΔE_f (raw) = -0.08 eV per atom; SG = No. 12
1.0
9.385 -3.097 0.000
9.385 3.097 0.000
-2.087 0.000 6.904
Sr Ga N
8 2 1
direct
0.031 0.031 0.278
0.216 0.216 0.803
0.367 0.367 0.561
0.421 0.421 0.149
0.579 0.579 0.851
0.633 0.633 0.439
0.784 0.784 0.197
0.969 0.969 0.722
0.195 0.195 0.246
0.805 0.805 0.754
0.500 0.500 0.500